1.
A relaxed structure of Ho8Pt2Rh, computed with PBE. Values from VASP.

Structure (Quantum ESPRESSO input):
```
&SYSTEM
  ibrav = 0, nat = 11, ntyp = 3
/
ATOMIC_SPECIES
Ho 164.93 Ho.upf
Pt 195.08 Pt.upf
Rh 102.91 Rh.upf
CELL_PARAMETERS angstrom
5.831 0.046 -0.988
-1.933 6.737 -2.849
-0.114 -0.132 7.564
ATOMIC_POSITIONS crystal
Ho 0.583 0.338 0.082
Ho 0.583 0.082 0.338
Ho 0.168 0.361 0.361
Ho 0.989 0.215 0.788
Ho 0.989 0.788 0.215
Ho 0.811 0.645 0.645
Ho 0.379 0.923 0.668
Ho 0.379 0.668 0.923
Pt 0.489 0.694 0.316
Pt 0.489 0.316 0.694
Rh 0.140 0.004 0.004
```

***

2.
A relaxed structure of Ho8Pt2Rh, computed with PBE. Values from VASP.

Structure (Quantum ESPRESSO input):
```
&SYSTEM
  ibrav = 0, nat = 11, ntyp = 3
/
ATOMIC_SPECIES
Ho 164.93 Ho.upf
Pt 195.08 Pt.upf
Rh 102.91 Rh.upf
CELL_PARAMETERS angstrom
-1.984 -4.256 1.632
0.030 -2.426 -6.289
8.617 -0.171 2.458
ATOMIC_POSITIONS crystal
Ho 0.409 0.553 0.818
Ho 0.665 0.970 0.330
Ho 0.795 0.682 0.590
Ho 0.968 0.213 0.936
Ho 0.205 0.318 0.410
Ho 0.335 0.030 0.670
Ho 0.591 0.447 0.182
Ho 0.032 0.787 0.064
Pt 0.810 0.278 0.620
Pt 0.190 0.722 0.380
Rh 0.500 0.000 0.000
```

***

Number 1: energy above the lowest structure with this stoichiometry 0.088 eV/atom, electronic total energy -5.672 eV/atom, energy relative to the elements -0.576 eV/atom. Number 2: energy above the lowest structure with this stoichiometry 0.000 eV/atom, electronic total energy -5.761 eV/atom, energy relative to the elements -0.665 eV/atom.